# 1
The following is a DFT calculation (GGA-PBE) of a geometry-optimized Sc4Ir2Rh structure.

crystal system = trigonal
energy relative to the elements = -0.928 eV/atom
magnetization = 0.000 μB per atom

a b c (Å): 4.532 4.532 7.867
angles (deg): 73.26 73.26 60.00
Positions (direct):
Ir 0.251 0.251 0.247
Ir 0.749 0.749 0.753
Sc 0.378 0.378 0.866
Sc 0.622 0.622 0.134
Sc 0.873 0.873 0.381
Sc 0.127 0.127 0.619
Rh 0.000 0.000 0.000

***

# 2
The following is a DFT calculation (GGA-PBE) of a geometry-optimized Rb12Cd2Hg5 structure.

crystal system = monoclinic
energy relative to the elements = -0.107 eV/atom
magnetization = 0.000 μB per atom

a b c (Å): 10.136 10.136 10.620
angles (deg): 78.63 78.63 78.05
Positions (direct):
Rb 0.180 0.593 0.396
Rb 0.388 0.388 0.796
Rb 0.657 0.987 0.823
Rb 0.013 0.343 0.177
Rb 0.987 0.657 0.823
Rb 0.593 0.180 0.396
Rb 0.612 0.612 0.204
Rb 0.820 0.407 0.604
Rb 0.343 0.013 0.177
Rb 0.906 0.906 0.187
Rb 0.094 0.094 0.813
Rb 0.407 0.820 0.604
Hg 0.796 0.796 0.538
Hg 0.204 0.204 0.462
Hg 0.386 0.386 0.143
Hg 0.614 0.614 0.857
Hg 0.000 0.000 0.500
Cd 0.311 0.689 0.000
Cd 0.689 0.311 0.000

***

# 3
The following is a DFT calculation (GGA-PBE) of a geometry-optimized Tb6NdS8 structure.

calculated total energy = -6.414 eV per atom
crystal system = cubic
magnetization = 0.000 μB per atom

a b c (Å): 7.858 7.858 7.858
angles (deg): 60.00 60.00 60.00
Positions (direct):
S 0.257 0.743 0.257
S 0.750 0.750 0.750
S 0.743 0.743 0.257
S 0.743 0.257 0.257
S 0.250 0.250 0.250
S 0.743 0.257 0.743
S 0.257 0.743 0.743
S 0.257 0.257 0.743
Tb 0.500 0.000 0.000
Tb 0.000 0.000 0.500
Tb 0.500 0.000 0.500
Tb 0.000 0.500 0.500
Tb 0.000 0.500 0.000
Tb 0.500 0.500 0.000
Nd 0.000 0.000 0.000

***

# 4
The following is a DFT calculation (GGA-PBE) of a geometry-optimized Ac2HgBr structure.

crystal system = trigonal
polymorph energy (0 for the lowest one) = 0.0 meV/atom
magnetization = 0.000 μB per atom

a b c (Å): 4.054 4.054 10.194
angles (deg): 78.53 78.53 60.00
Positions (direct):
Br 0.500 0.500 0.499
Ac 0.082 0.082 0.755
Ac 0.252 0.252 0.245
Hg 0.666 0.666 0.001

***

# 5
The following is a DFT calculation (GGA-PBE) of a geometry-optimized MoBr structure.

crystal system = tetragonal
polymorph energy (0 for the lowest one) = 1122.8 meV/atom
magnetization = 0.318 μB per atom

a b c (Å): 3.061 3.061 8.325
angles (deg): 90.00 90.00 90.00
Each line ends with the local moment (μB).
Positions (direct):
Br 0.000 0.000 0.022  -0.01
Br 0.500 0.500 0.522  -0.01
Mo 0.000 0.000 0.714  0.57
Mo 0.500 0.500 0.214  0.57

***

# 6
The following is a DFT calculation (GGA-PBE) of a geometry-optimized Be2SbBr structure.

crystal system = cubic
polymorph energy (0 for the lowest one) = 1102.3 meV/atom
magnetization = 0.000 μB per atom

a b c (Å): 4.800 4.800 4.800
angles (deg): 60.00 60.00 60.00
Positions (direct):
Sb 0.750 0.750 0.750
Be 0.250 0.250 0.250
Be 0.000 0.000 0.000
Br 0.500 0.500 0.500

***

# 7
The following is a DFT calculation (GGA-PBE) of a geometry-optimized Mg2PbW structure.

crystal system = orthorhombic
energy relative to the elements = 0.510 eV/atom
magnetization = 0.000 μB per atom

a b c (Å): 3.018 3.018 9.871
angles (deg): 90.00 90.00 105.81
Positions (direct):
Mg 0.500 0.500 0.231
Mg 0.000 0.000 0.980
Pb 0.000 0.000 0.526
W 0.500 0.500 0.763

***

# 8
The following is a DFT calculation (GGA-PBE) of a geometry-optimized KNiTe structure.

calculated total energy = -2.610 eV per atom
crystal system = cubic
magnetization = 0.367 μB per atom

a b c (Å): 5.170 5.170 5.170
angles (deg): 60.00 60.00 60.00
Each line ends with the local moment (μB).
Positions (direct):
Te 0.500 0.500 0.500  0.10
Ni 0.000 0.000 0.000  0.93
K 0.250 0.250 0.250  0.00